Entry 1:
VASP calculation (GGA-PBEsol) on crystalline Mn2NbReN at its relaxed geometry.

The structure in POSCAR format:
```
Mn2NbReN
1.0
-2.7192 1.2382 -2.4383
-2.1393 -4.1338 0.2865
-2.5217 1.5547 3.6016
Re Nb Mn N
1 1 2 1
Direct
0.5000 0.5000 0.5000
0.0000 0.0000 0.0000
0.0000 0.0000 0.5000
0.0000 0.5000 0.0000
0.5000 0.0000 0.0000
```

- density (g/cm³) = 7.98
- uncorrected formation energy (meV per atom) = 1813.0
- symmetry = No. 123
- VASP energy (eV/cell) = -43.137

***

Entry 2:
VASP calculation (GGA-PBEsol) on crystalline LiMnSbO4 at its relaxed geometry.

The structure in POSCAR format:
```
LiMnSbO4
1.0
6.1881 0.0000 0.0000
-3.0941 5.4101 0.0444
0.0000 -3.4709 5.0064
Li Mn Sb O
2 2 2 8
Direct
0.1013 0.2026 0.3513
0.8987 0.7974 0.6487
0.5000 0.0000 0.5000
0.5000 0.0000 0.0000
0.5000 0.5000 0.0000
0.0000 0.5000 0.0000
0.2486 0.4971 0.2231
0.2486 0.4971 0.7741
0.7514 0.5029 0.2259
0.7514 0.5029 0.7769
0.7014 0.9446 0.2223
0.2431 0.9446 0.2223
0.2986 0.0554 0.7777
0.7569 0.0554 0.7777
```

- density (g/cm³) = 4.88
- uncorrected formation energy (meV per atom) = -1550.9
- symmetry = No. 74
- VASP energy (eV/cell) = -96.278
- excess energy over the best structure of this formula in the dataset (meV per atom) = 35

***

Entry 3:
VASP calculation (GGA-PBEsol) on crystalline Ce4Si3S12 at its relaxed geometry.

The structure in POSCAR format:
```
Ce4Si3S12
1.0
7.8173 0.0000 0.0000
-2.6058 10.9290 0.0000
-2.6058 -5.4645 9.4648
Ce Si S
8 6 24
Direct
0.5663 0.5397 0.7742
0.7921 0.2258 0.7656
0.2921 0.7656 0.2258
0.9996 0.0000 0.0000
0.5266 0.4603 0.2344
0.4996 0.0000 0.0000
0.0663 0.7742 0.5397
0.0266 0.2344 0.4603
0.0340 0.3859 0.1713
0.3627 0.2146 0.8287
0.8627 0.8287 0.2146
0.1481 0.6141 0.7854
0.5340 0.1713 0.3859
0.6481 0.7854 0.6141
0.3847 0.6826 0.9686
0.9226 0.5412 0.2678
0.2021 0.3174 0.2860
0.7161 0.6023 0.5352
0.6233 0.8148 0.8104
0.1137 0.9329 0.3977
0.2161 0.5352 0.6023
0.1808 0.4648 0.0671
0.1548 0.2734 0.7322
0.3130 0.0044 0.1896
0.6548 0.7322 0.2734
0.8847 0.9686 0.6826
0.3086 0.1852 0.9956
0.1233 0.8104 0.8148
0.4226 0.2678 0.5412
0.3814 0.7266 0.4588
0.9161 0.7140 0.0314
0.8086 0.9956 0.1852
0.8130 0.1896 0.0044
0.8814 0.4588 0.7266
0.7021 0.2860 0.3174
0.6808 0.0671 0.4648
0.6137 0.3977 0.9329
0.4161 0.0314 0.7140
```

- density (g/cm³) = 4.23
- uncorrected formation energy (meV per atom) = -1369.3
- symmetry = No. 161
- VASP energy (eV/cell) = -244.496

***

Entry 4:
VASP calculation (GGA-PBEsol) on crystalline InSi2PdPt at its relaxed geometry.

The structure in POSCAR format:
```
InSi2PdPt
1.0
-2.2752 3.4004 -1.8468
0.6606 -1.7697 -4.0721
-4.4344 -2.7166 0.4613
Si Pd Pt In
2 1 1 1
Direct
0.0000 0.5000 0.0000
0.5000 0.0000 0.0000
0.0000 0.0000 0.5000
0.0000 0.0000 0.0000
0.5000 0.5000 0.5000
```

- density (g/cm³) = 7.46
- uncorrected formation energy (meV per atom) = 248.0
- symmetry = No. 123
- VASP energy (eV/cell) = -26.159

***

Entry 5:
VASP calculation (GGA-PBEsol) on crystalline Zn2Ni2Pd at its relaxed geometry.

The structure in POSCAR format:
```
Zn2Ni2Pd
1.0
3.3023 0.0000 0.0000
0.0000 3.3023 0.0000
-1.6512 -1.6512 6.0220
Ni Zn Pd
2 2 1
Direct
0.2500 0.7500 0.5000
0.7500 0.2500 0.5000
0.3972 0.3972 0.7944
0.6028 0.6028 0.2056
0.0000 0.0000 0.0000
```

- density (g/cm³) = 8.97
- symmetry = No. 139
- VASP energy (eV/cell) = -21.642
- energy of formation (eV per atom) = -0.041

***

Entry 6:
VASP calculation (GGA-PBEsol) on crystalline MoP3 at its relaxed geometry.

The structure in POSCAR format:
```
MoP3
1.0
-0.0168 -2.5705 0.6850
2.4943 0.6145 -0.6914
1.7230 2.1556 8.1315
Mo P
1 3
Direct
0.0000 0.0000 0.0000
0.5000 0.5000 0.7727
0.0000 0.0000 0.5000
0.5000 0.5000 0.2273
```

- density (g/cm³) = 5.40
- symmetry = No. 65
- VASP energy (eV/cell) = -27.720
- energy of formation (eV per atom) = 0.356
- excess energy over the best structure of this formula in the dataset (meV per atom) = 288

***

Entry 7:
VASP calculation (GGA-PBEsol) on crystalline CsHg2 at its relaxed geometry.

The structure in POSCAR format:
```
CsHg2
1.0
-4.8940 0.2876 -2.5544
-1.3432 -5.2772 -4.0024
-5.0485 -2.9889 3.3543
Cs Hg
2 4
Direct
0.9400 0.3100 0.8100
0.0600 0.6900 0.1900
0.6651 0.9061 0.7637
0.3349 0.0939 0.2363
0.6651 0.2637 0.4061
0.3349 0.7363 0.5939
```

- density (g/cm³) = 8.44
- symmetry = No. 74
- VASP energy (eV/cell) = -5.649
- energy of formation (eV per atom) = -0.249

***

Entry 8:
VASP calculation (GGA-PBEsol) on crystalline ScMn2 at its relaxed geometry.

The structure in POSCAR format:
```
ScMn2
1.0
-0.9192 -1.6799 2.0694
-1.0405 -1.7892 -1.9146
5.4411 -0.7886 -0.1440
Mn Sc
2 1
Direct
0.6974 0.6974 0.3948
0.3026 0.3026 0.6052
0.0000 0.0000 0.0000
```

- density (g/cm³) = 6.31
- symmetry = No. 139
- VASP energy (eV/cell) = -25.904
- energy of formation (eV per atom) = 0.074

***

Entry 9:
VASP calculation (GGA-PBEsol) on crystalline CaPSe2 at its relaxed geometry.

The structure in POSCAR format:
```
CaPSe2
1.0
-1.9006 -3.0371 0.9660
4.2062 -1.9259 2.2207
-2.2630 4.3645 2.1425
Ca P Se
1 1 2
Direct
0.5000 0.0000 0.0000
0.0000 0.5000 0.0000
0.6974 0.6974 0.3948
0.3026 0.3026 0.6052
```

- density (g/cm³) = 4.61
- uncorrected formation energy (meV per atom) = -689.4
- symmetry = No. 71
- VASP energy (eV/cell) = -18.383

***

Entry 10:
VASP calculation (GGA-PBEsol) on crystalline Li2MnSi3O8 at its relaxed geometry.

The structure in POSCAR format:
```
Li2MnSi3O8
1.0
-2.1184 -4.1076 1.8902
0.4980 -4.4847 -4.2020
4.7455 -3.4727 2.0832
Li Mn Si O
2 1 3 8
Direct
0.2604 0.6531 0.1408
0.7678 0.3182 0.8794
0.6234 0.2785 0.3784
0.2915 0.1144 0.1760
0.3423 0.7582 0.6008
0.7328 0.8833 0.8115
0.9732 0.1580 0.1365
0.0740 0.7610 0.8284
0.4157 0.3392 0.1054
0.3502 0.5815 0.4495
0.7060 0.1423 0.6814
0.3130 0.0214 0.4489
0.5141 0.8878 0.0593
0.6356 0.7019 0.7052
```

- density (g/cm³) = 2.68
- uncorrected formation energy (meV per atom) = -2404.2
- symmetry = No. 1
- VASP energy (eV/cell) = -106.588
- excess energy over the best structure of this formula in the dataset (meV per atom) = 6

***

Entry 11:
VASP calculation (GGA-PBEsol) on crystalline TlCo2Sb at its relaxed geometry.

The structure in POSCAR format:
```
TlCo2Sb
1.0
-1.3131 -1.9765 -2.1308
2.2225 -3.1386 1.5416
-4.5033 0.2052 2.5848
Sb Tl Co
1 1 2
Direct
0.5000 0.5000 0.0000
0.0000 0.0000 0.5000
0.0000 0.0000 0.0000
0.5000 0.5000 0.5000
```

- density (g/cm³) = 11.29
- uncorrected formation energy (meV per atom) = 443.5
- symmetry = No. 10
- VASP energy (eV/cell) = -20.888
- excess energy over the best structure of this formula in the dataset (meV per atom) = 158

***

Entry 12:
VASP calculation (GGA-PBEsol) on crystalline LiP2Br at its relaxed geometry.

The structure in POSCAR format:
```
LiP2Br
1.0
3.3537 0.0000 0.0000
0.0000 3.3537 0.0000
0.0000 0.0000 6.4487
P Br Li
2 1 1
Direct
0.0000 0.0000 0.1226
0.5000 0.5000 0.0983
0.0000 0.0000 0.5813
0.5000 0.5000 0.6978
```

- density (g/cm³) = 3.41
- uncorrected formation energy (meV per atom) = -380.5
- symmetry = No. 99
- VASP energy (eV/cell) = -16.942
- excess energy over the best structure of this formula in the dataset (meV per atom) = 0

***

Entry 13:
VASP calculation (GGA-PBEsol) on crystalline Li2FeCuB at its relaxed geometry.

The structure in POSCAR format:
```
Li2FeCuB
1.0
4.0022 0.0000 0.0000
0.0000 4.0022 0.0000
0.0000 0.0000 4.4585
B Fe Cu Li
1 1 1 2
Direct
0.5000 0.5000 0.5000
0.0000 0.0000 0.5000
0.0000 0.0000 0.0000
0.0000 0.5000 0.0000
0.5000 0.0000 0.0000
```

- density (g/cm³) = 3.35
- symmetry = No. 123
- VASP energy (eV/cell) = -17.618
- energy of formation (eV per atom) = 1.326

***

Entry 14:
VASP calculation (GGA-PBEsol) on crystalline YInAsSe2 at its relaxed geometry.

The structure in POSCAR format:
```
YInAsSe2
1.0
5.0532 0.0000 0.0000
0.0000 5.1299 0.0000
0.0000 0.0000 5.1299
Y As Se In
1 1 2 1
Direct
0.5000 0.5000 0.5000
0.5000 0.0000 0.0000
0.0000 0.0000 0.5000
0.0000 0.5000 0.0000
0.0000 0.0000 0.0000
```

- density (g/cm³) = 5.45
- uncorrected formation energy (meV per atom) = -116.1
- symmetry = No. 123
- VASP energy (eV/cell) = -23.193

***

Entry 15:
VASP calculation (GGA-PBEsol) on crystalline HgPtCl at its relaxed geometry.

The structure in POSCAR format:
```
HgPtCl
1.0
-0.9992 -2.0654 -2.2348
2.0044 -2.1239 -1.2285
-2.1044 -5.1783 3.4314
Hg Pt Cl
1 1 1
Direct
0.6699 0.0000 0.6601
0.3386 0.0000 0.3229
0.9915 0.0000 0.0170
```

- density (g/cm³) = 12.86
- uncorrected formation energy (meV per atom) = 183.5
- symmetry = No. 42
- VASP energy (eV/cell) = -8.988
- excess energy over the best structure of this formula in the dataset (meV per atom) = 0

***

Entry 16:
VASP calculation (GGA-PBEsol) on crystalline SrNbRhSe2 at its relaxed geometry.

The structure in POSCAR format:
```
SrNbRhSe2
1.0
-1.7259 4.1820 -1.8022
-4.4500 -1.1397 1.6171
1.1582 2.6591 5.0612
Sr Nb Rh Se
1 1 1 2
Direct
0.0000 0.0000 0.5000
0.0000 0.0000 0.0000
0.5000 0.5000 0.5000
0.0000 0.5000 0.0000
0.5000 0.0000 0.0000
```

- density (g/cm³) = 5.30
- uncorrected formation energy (meV per atom) = 612.7
- symmetry = No. 123
- VASP energy (eV/cell) = -25.437

***

Entry 17:
VASP calculation (GGA-PBEsol) on crystalline Hf2Be2Ir at its relaxed geometry.

The structure in POSCAR format:
```
Hf2Be2Ir
1.0
-1.6870 -2.4524 -1.8053
5.2656 -3.5466 -0.1028
-1.7667 -2.7804 5.4280
Be Ir Hf
4 2 4
Direct
0.0000 0.3805 0.8805
0.0000 0.8805 0.6195
0.0000 0.6195 0.1195
0.0000 0.1195 0.3805
0.0000 0.0000 0.0000
0.0000 0.5000 0.5000
0.5000 0.1777 0.6777
0.5000 0.6777 0.8223
0.5000 0.8223 0.3223
0.5000 0.3223 0.1777
```

- density (g/cm³) = 13.42
- symmetry = No. 127
- VASP energy (eV/cell) = -83.375
- energy of formation (eV per atom) = -0.572

***

Entry 18:
VASP calculation (GGA-PBEsol) on crystalline SrHfSi2 at its relaxed geometry.

The structure in POSCAR format:
```
SrHfSi2
1.0
4.8890 0.0000 0.0000
2.4445 4.2340 0.0000
2.4445 1.4113 3.9919
Sr Si Hf
1 2 1
Direct
0.0000 0.0000 0.0000
0.2500 0.2500 0.2500
0.7500 0.7500 0.7500
0.5000 0.5000 0.5000
```

- density (g/cm³) = 6.48
- uncorrected formation energy (meV per atom) = 7.6
- symmetry = No. 225
- VASP energy (eV/cell) = -23.806

***

Entry 19:
VASP calculation (GGA-PBEsol) on crystalline ZrPt2Cl at its relaxed geometry.

The structure in POSCAR format:
```
ZrPt2Cl
1.0
-0.2877 -3.1565 2.2037
1.5630 -2.1152 -2.8258
3.4283 3.4237 1.9703
Zr Pt Cl
1 2 1
Direct
0.5000 0.5000 0.0000
0.7500 0.2500 0.5000
0.2500 0.7500 0.5000
0.0000 0.0000 0.0000
```

- density (g/cm³) = 12.91
- uncorrected formation energy (meV per atom) = -477.6
- symmetry = No. 139
- VASP energy (eV/cell) = -26.935
- excess energy over the best structure of this formula in the dataset (meV per atom) = 121

***

Entry 20:
VASP calculation (GGA-PBEsol) on crystalline TaAl2Tc at its relaxed geometry.

The structure in POSCAR format:
```
TaAl2Tc
1.0
-2.5517 0.4168 0.8699
1.8397 -2.1346 4.2018
1.2927 4.8347 -0.7422
Al Tc Ta
2 1 1
Direct
0.0000 0.5000 0.0000
0.0000 0.0000 0.5000
0.5000 0.5000 0.5000
0.5000 0.0000 0.0000
```

- density (g/cm³) = 9.10
- symmetry = No. 12
- VASP energy (eV/cell) = -32.701
- energy of formation (eV per atom) = -0.175
- excess energy over the best structure of this formula in the dataset (meV per atom) = 189

***

Entry 21:
VASP calculation (GGA-PBEsol) on crystalline FeTeOs at its relaxed geometry.

The structure in POSCAR format:
```
FeTeOs
1.0
-0.2458 4.0864 -1.0885
-2.9213 2.4952 1.7844
1.1717 2.9992 2.7524
Fe Os Te
1 1 1
Direct
0.5000 0.5000 0.5000
0.2500 0.2500 0.2500
0.0000 0.0000 0.0000
```

- density (g/cm³) = 11.54
- uncorrected formation energy (meV per atom) = 465.9
- symmetry = No. 216
- VASP energy (eV/cell) = -23.308

***

Entry 22:
VASP calculation (GGA-PBEsol) on crystalline Ti2As4W3 at its relaxed geometry.

The structure in POSCAR format:
```
Ti2As4W3
1.0
-2.3563 2.2914 0.2473
-5.8192 -3.6838 0.6527
-0.5148 1.1023 6.8455
As W Ti
4 3 2
Direct
0.2882 0.7654 0.6581
0.7185 0.2285 0.3344
0.9474 0.3429 0.7622
0.0522 0.6620 0.2337
0.6274 0.0654 0.6799
0.6947 0.6723 0.9384
0.3035 0.3283 0.0648
0.0012 0.9995 0.9980
0.3669 0.9358 0.3304
```

- density (g/cm³) = 10.51
- symmetry = No. 8
- VASP energy (eV/cell) = -82.188
- energy of formation (eV per atom) = -0.411

***

Entry 23:
VASP calculation (GGA-PBEsol) on crystalline YZrAs2 at its relaxed geometry.

The structure in POSCAR format:
```
YZrAs2
1.0
3.3877 0.0267 0.0000
-0.7578 3.3019 0.0000
0.0000 0.0000 7.2752
Y As Zr
1 2 1
Direct
0.5000 0.5000 0.5000
0.0000 0.0000 0.2388
0.0000 0.0000 0.7612
0.5000 0.5000 0.0000
```

- density (g/cm³) = 6.72
- symmetry = No. 65
- VASP energy (eV/cell) = -30.117
- energy of formation (eV per atom) = -0.998
- excess energy over the best structure of this formula in the dataset (meV per atom) = 382

***

Entry 24:
VASP calculation (GGA-PBEsol) on crystalline Cr3RePb at its relaxed geometry.

The structure in POSCAR format:
```
Cr3RePb
1.0
4.9461 0.0000 0.0000
0.0000 4.9461 0.0000
0.0000 0.0000 4.9461
Pb Re Cr
1 1 3
Direct
0.0000 0.0000 0.0000
0.5000 0.5000 0.5000
0.0000 0.5000 0.0000
0.0000 0.0000 0.5000
0.5000 0.0000 0.0000
```

- density (g/cm³) = 7.54
- symmetry = No. 221
- VASP energy (eV/cell) = -34.878
- energy of formation (eV per atom) = 2.636

***

Entry 25:
VASP calculation (GGA-PBEsol) on crystalline La3Cu2 at its relaxed geometry.

The structure in POSCAR format:
```
La3Cu2
1.0
3.7877 0.0000 0.0000
1.8938 3.2802 0.0000
1.8938 1.0934 10.8112
Cu La
2 3
Direct
0.6058 0.6058 0.1827
0.3942 0.3942 0.8173
0.0000 0.0000 0.0000
0.2113 0.2113 0.3662
0.7887 0.7887 0.6338
```

- density (g/cm³) = 6.72
- symmetry = No. 166
- VASP energy (eV/cell) = -24.147
- energy of formation (eV per atom) = 0.112